No. 1
The following is a DFT calculation (PBE) of a relaxed Ta4Au crystal.

Calculated values
The formation energy comes out at -0.06 eV per formula unit. The total magnetization comes out at 0.000 Bohr magnetons per cell. The total energy is -10.15 eV/atom.

POSCAR file:
```
Ta4Au
1.0
-3.6038 3.6038 1.7491
3.6038 -3.6038 1.7491
3.6038 3.6038 -1.7491
Ta Au
4 1
Direct
0.1014 0.3074 0.4089
0.3074 0.8986 0.2060
0.6926 0.1014 0.7940
0.8986 0.6926 0.5911
0.5000 0.5000 0.0000
```



No. 2
The following is a DFT calculation (PBE) of a relaxed PrSi2PdPt5 crystal.

Calculated values
Its formation energy without anion corrections is -0.559 eV/atom. The total magnetization comes out at 0.000 Bohr magnetons per cell. The total energy is -6.23 eV/atom.

POSCAR file:
```
PrSi2PdPt5
1.0
4.1037 0.0000 0.0000
0.0000 4.1037 0.0000
0.0000 0.0000 10.5671
Pr Si Pd Pt
1 2 1 5
Direct
0.0000 0.0000 0.0000
0.5000 0.5000 0.2224
0.5000 0.5000 0.7776
0.0000 0.0000 0.5000
0.0000 0.5000 0.3307
0.0000 0.5000 0.6693
0.5000 0.0000 0.3307
0.5000 0.0000 0.6693
0.5000 0.5000 0.0000
```



No. 3
The following is a DFT calculation (PBE) of a relaxed Pm3Nd8Ho3 crystal.

Calculated values
The formation energy comes out at 1.58 eV per formula unit. The total magnetization comes out at 0.000 Bohr magnetons per cell. The total energy is -4.61 eV/atom.

POSCAR file:
```
Pm3Nd8Ho3
1.0
-2.8564 5.4735 7.6922
2.8564 -5.4735 7.6922
2.8564 5.4735 -7.6922
Pm Nd Ho
3 8 3
Direct
0.0000 0.0000 0.0000
0.3060 0.0000 0.3060
0.6940 0.0000 0.6940
0.0585 0.3959 0.6626
0.0678 0.2251 0.8426
0.2667 0.6041 0.6626
0.3825 0.2251 0.1574
0.6175 0.7749 0.8426
0.7333 0.3959 0.3374
0.9322 0.7749 0.1574
0.9415 0.6041 0.3374
0.3176 0.8176 0.5000
0.5000 0.5000 0.0000
0.6824 0.1824 0.5000
```



No. 4
The following is a DFT calculation (PBE) of a relaxed GeTeClO2 crystal.

Calculated values
Its formation energy without anion corrections is -0.225 eV/atom. The total magnetization comes out at 0.001 Bohr magnetons per cell. The total energy is -4.13 eV/atom.

POSCAR file:
```
GeTeClO2
1.0
3.7777 0.0000 0.0000
0.0000 3.7777 0.0000
0.0000 0.0000 7.8999
Ge Te Cl O
1 1 1 2
Direct
0.0000 0.0000 0.0000
0.5000 0.5000 0.5000
0.0000 0.0000 0.5000
0.0000 0.5000 0.0000
0.5000 0.0000 0.0000
```



No. 5
The following is a DFT calculation (PBE) of a relaxed LiLaPrEr crystal.

Calculated values
The formation energy comes out at 0.56 eV per formula unit. The total magnetization comes out at 0.001 Bohr magnetons per cell. The total energy is -3.91 eV/atom.

POSCAR file:
```
LiLaPrEr
1.0
0.0000 3.9832 3.9832
3.9832 0.0000 3.9832
3.9832 3.9832 0.0000
Li La Pr Er
1 1 1 1
Direct
0.0000 0.0000 0.0000
0.2500 0.2500 0.2500
0.7500 0.7500 0.7500
0.5000 0.5000 0.5000
```



No. 6
The following is a DFT calculation (PBE) of a relaxed Na2YSe2O6 crystal.

Calculated values
Its formation energy without anion corrections is -1.530 eV/atom. The total magnetization comes out at 0.000 Bohr magnetons per cell. The total energy is -5.70 eV/atom.

POSCAR file:
```
Na2YSe2O6
1.0
4.3713 -2.9451 0.0000
4.3713 2.9451 0.0000
-2.8554 0.0000 6.2760
Na Y Se O
2 1 2 6
Direct
0.2022 0.2022 0.1161
0.7978 0.7978 0.8839
0.0000 0.0000 0.5000
0.4111 0.4111 0.7570
0.5889 0.5889 0.2430
0.2144 0.6902 0.2277
0.2670 0.2670 0.4944
0.3098 0.7856 0.7723
0.6902 0.2144 0.2277
0.7330 0.7330 0.5056
0.7856 0.3098 0.7723
```



No. 7
The following is a DFT calculation (PBE) of a relaxed Tb3NdDy2P6 crystal.

Calculated values
The formation energy comes out at -19.14 eV per formula unit. The total magnetization comes out at 0.000 Bohr magnetons per cell. The total energy is -6.62 eV/atom.

POSCAR file:
```
Tb3NdDy2P6
1.0
3.5033 -6.0673 0.0000
3.5033 6.0673 0.0000
-2.3341 0.0000 6.6073
Tb Nd Dy P
3 1 2 6
Direct
0.0000 0.0000 0.0000
0.3343 0.6657 0.0000
0.6657 0.3343 0.0000
0.5000 0.5000 0.5000
0.1670 0.8330 0.5000
0.8330 0.1670 0.5000
0.0775 0.4160 0.2479
0.2453 0.2453 0.7515
0.4160 0.0775 0.2479
0.5840 0.9225 0.7521
0.7547 0.7547 0.2485
0.9225 0.5840 0.7521
```



No. 8
The following is a DFT calculation (PBE) of a relaxed YZrTa3 crystal.

Calculated values
The formation energy comes out at 7.03 eV per formula unit. The total magnetization comes out at 0.000 Bohr magnetons per cell. The total energy is -8.71 eV/atom.

POSCAR file:
```
YZrTa3
1.0
4.9768 0.0000 0.0000
0.0000 4.9768 0.0000
0.0000 0.0000 4.9768
Y Zr Ta
1 1 3
Direct
0.0000 0.0000 0.0000
0.5000 0.5000 0.5000
0.0000 0.5000 0.5000
0.5000 0.0000 0.5000
0.5000 0.5000 0.0000
```



No. 9
The following is a DFT calculation (PBE) of a relaxed Hf2Zr3Fe2 crystal.

Calculated values
The formation energy comes out at 0.43 eV per formula unit. The total magnetization comes out at 0.000 Bohr magnetons per cell. The total energy is -8.86 eV/atom.

POSCAR file:
```
Hf2Zr3Fe2
1.0
5.7702 -1.6136 0.0000
5.7702 1.6136 0.0000
-2.0792 0.0000 7.4368
Hf Zr Fe
2 3 2
Direct
0.1287 0.1287 0.4732
0.8713 0.8713 0.5268
0.2519 0.2519 0.1699
0.5000 0.5000 0.0000
0.7481 0.7481 0.8301
0.0702 0.0702 0.7755
0.9298 0.9298 0.2245
```



No. 10
The following is a DFT calculation (PBE) of a relaxed Dy3Ho4Tm4 crystal.

Calculated values
The formation energy comes out at 0.71 eV per formula unit. The total magnetization comes out at 0.000 Bohr magnetons per cell. The total energy is -4.48 eV/atom.

POSCAR file:
```
Dy3Ho4Tm4
1.0
3.4555 0.0000 0.0000
0.0007 5.5401 0.0000
1.7226 2.7576 17.5929
Dy Ho Tm
3 4 4
Direct
0.0000 0.0000 0.0000
0.1362 0.6364 0.7268
0.8638 0.3636 0.2732
0.2664 0.2667 0.4667
0.4096 0.9100 0.1811
0.5904 0.0900 0.8189
0.7336 0.7333 0.5333
0.3198 0.8193 0.3614
0.4549 0.4548 0.0913
0.5451 0.5452 0.9087
0.6802 0.1807 0.6386
```



No. 11
The following is a DFT calculation (PBE) of a relaxed Tm2PtC crystal.

Calculated values
The formation energy comes out at -2.74 eV per formula unit. The total magnetization comes out at 0.000 Bohr magnetons per cell. The total energy is -6.74 eV/atom.

POSCAR file:
```
Tm2PtC
1.0
1.8136 1.0471 6.6166
-1.8136 1.0471 6.6166
0.0000 -2.0941 6.6166
Tm Pt C
2 1 1
Direct
0.2335 0.2335 0.2335
0.7665 0.7665 0.7665
0.0000 0.0000 0.0000
0.5000 0.5000 0.5000
```



No. 12
The following is a DFT calculation (PBE) of a relaxed ZrGa2Fe crystal.

Calculated values
The formation energy comes out at -1.07 eV per formula unit. The total magnetization comes out at 1.447 Bohr magnetons per cell. The total energy is -6.03 eV/atom.

POSCAR file:
```
ZrGa2Fe
1.0
2.0425 1.1793 4.5387
-2.0425 1.1793 4.5387
0.0000 -2.3585 4.5387
Zr Ga Fe
1 2 1
Direct
0.0000 0.0000 0.0000
0.2219 0.2219 0.2219
0.7781 0.7781 0.7781
0.5000 0.5000 0.5000
```



No. 13
The following is a DFT calculation (PBE) of a relaxed Ta2SbAu crystal.

Calculated values
Its formation energy without anion corrections is 1.133 eV/atom. The total magnetization comes out at 0.000 Bohr magnetons per cell. The total energy is -6.64 eV/atom.

POSCAR file:
```
Ta2SbAu
1.0
-3.0132 3.0132 6.2847
3.0132 -3.0132 6.2847
3.0132 3.0132 -6.2847
Ta Sb Au
4 2 2
Direct
0.0906 0.6250 0.9656
0.3750 0.3406 0.4656
0.6594 0.1250 0.0344
0.8750 0.9094 0.5344
0.2500 0.7500 0.5000
0.5000 0.5000 0.0000
0.0000 0.0000 0.0000
0.7500 0.2500 0.5000
```



No. 14
The following is a DFT calculation (PBE) of a relaxed GdMgRh crystal.

Calculated values
The formation energy comes out at -1.43 eV per formula unit. The total magnetization comes out at 7.098 Bohr magnetons per cell. The total energy is -8.15 eV/atom.

POSCAR file:
```
GdMgRh
1.0
0.0000 3.2951 3.2951
3.2951 0.0000 3.2951
3.2951 3.2951 0.0000
Gd Mg Rh
1 1 1
Direct
0.0000 0.0000 0.0000
0.5000 0.5000 0.5000
0.2500 0.2500 0.2500
```



No. 15
The following is a DFT calculation (PBE) of a relaxed Bi3PtN crystal.

Calculated values
Its formation energy without anion corrections is 1.452 eV/atom. The total magnetization comes out at 0.000 Bohr magnetons per cell. The total energy is -3.75 eV/atom.

POSCAR file:
```
Bi3PtN
1.0
5.3864 0.0000 0.0000
0.0000 5.3864 0.0000
0.0000 0.0000 5.3864
Bi Pt N
3 1 1
Direct
0.0000 0.0000 0.5000
0.0000 0.5000 0.0000
0.5000 0.0000 0.0000
0.0000 0.0000 0.0000
0.5000 0.5000 0.5000
```



No. 16
The following is a DFT calculation (PBE) of a relaxed Tb4CdRhAu2 crystal.

Calculated values
The formation energy comes out at -5.75 eV per formula unit. The total magnetization comes out at 0.000 Bohr magnetons per cell. The total energy is -4.89 eV/atom.

POSCAR file:
```
Tb4CdRhAu2
1.0
2.5542 1.4747 8.2922
-2.5542 1.4747 8.2922
0.0000 -2.9494 8.2922
Tb Cd Rh Au
4 1 1 2
Direct
0.1158 0.1158 0.1158
0.3680 0.3680 0.3680
0.6320 0.6320 0.6320
0.8842 0.8842 0.8842
0.5000 0.5000 0.5000
0.0000 0.0000 0.0000
0.2401 0.2401 0.2401
0.7599 0.7599 0.7599
```



No. 17
The following is a DFT calculation (PBE) of a relaxed SiBi2Pt crystal.

Calculated values
Its formation energy without anion corrections is 0.225 eV/atom. The total magnetization comes out at 0.000 Bohr magnetons per cell. The total energy is -4.58 eV/atom.

POSCAR file:
```
SiBi2Pt
1.0
-3.1817 3.1817 6.1892
3.1817 -3.1817 6.1892
3.1817 3.1817 -6.1892
Si Bi Pt
2 4 2
Direct
0.0000 0.0000 0.0000
0.7500 0.2500 0.5000
0.1357 0.6250 0.0107
0.3750 0.3857 0.5107
0.6143 0.1250 0.9893
0.8750 0.8643 0.4893
0.2500 0.7500 0.5000
0.5000 0.5000 0.0000
```



No. 18
The following is a DFT calculation (PBE) of a relaxed AcY2Pb crystal.

Calculated values
The formation energy comes out at -0.49 eV per formula unit. The total magnetization comes out at 0.000 Bohr magnetons per cell. The total energy is -5.31 eV/atom.

POSCAR file:
```
AcY2Pb
1.0
1.8646 1.0765 11.2606
-1.8646 1.0765 11.2606
0.0000 -2.1530 11.2606
Ac Y Pb
1 2 1
Direct
0.0000 0.0000 0.0000
0.5757 0.5757 0.5757
0.7578 0.7578 0.7578
0.1665 0.1665 0.1665
```



No. 19
The following is a DFT calculation (PBE) of a relaxed CaSbMo crystal.

Calculated values
Its formation energy without anion corrections is 0.186 eV/atom. The total magnetization comes out at 0.922 Bohr magnetons per cell. The total energy is -5.47 eV/atom.

POSCAR file:
```
CaSbMo
1.0
4.6761 0.0000 0.0000
-2.3381 4.0496 0.0000
0.0000 0.0000 3.8608
Ca Sb Mo
1 1 1
Direct
0.0000 0.0000 0.0000
0.3333 0.6667 0.5000
0.6667 0.3333 0.5000
```



No. 20
The following is a DFT calculation (PBE) of a relaxed Na2Tl2Pb7 crystal.

Calculated values
The formation energy comes out at -0.05 eV per formula unit. The total magnetization comes out at 0.000 Bohr magnetons per cell. The total energy is -3.03 eV/atom.

POSCAR file:
```
Na2Tl2Pb7
1.0
4.4823 -5.5136 0.0000
4.4823 5.5136 0.0000
-2.2963 0.0000 7.0646
Na Tl Pb
2 2 7
Direct
0.2230 0.7770 0.0000
0.7770 0.2230 0.0000
0.3120 0.3120 0.0051
0.6880 0.6880 0.9949
0.0596 0.6015 0.3383
0.0992 0.0992 0.3380
0.3985 0.9404 0.6617
0.5000 0.5000 0.5000
0.6015 0.0596 0.3383
0.9008 0.9008 0.6620
0.9404 0.3985 0.6617
```